Entry 1:
HfAs2SeN PBE-GGA optimized geometry; crystal system = tetragonal; formation energy (no corrections) = 1.76 eV per formula unit; energy above the lowest structure with this stoichiometry = 0.000 eV/atom; space-group type = P4/mmm
1.0
4.320 0.000 0.000
0.000 4.320 0.000
0.000 0.000 4.431
Hf As Se N
1 2 1 1
direct
0.000 0.000 0.000
0.000 0.500 0.500
0.500 0.000 0.500
0.500 0.500 0.000
0.500 0.500 0.500



Entry 2:
Tl2AgOs PBE-GGA optimized geometry; energy relative to the elements = 804 meV/atom; crystal system = tetragonal; energy above the lowest structure with this stoichiometry = 0.157 eV/atom; space-group type = P4/mmm
1.0
4.894 0.000 0.000
0.000 4.894 0.000
0.000 0.000 3.303
Tl Ag Os
2 1 1
direct
0.000 0.500 0.000
0.500 0.000 0.000
0.000 0.000 0.500
0.500 0.500 0.500